Density functional theory data (PBE) for a geometry-optimized Tb2Sm3Er6Tm structure.

Summary:
E_form	19	meV/atom
V	753	Å³ per cell

```
data_Tb2Sm3Er6Tm
_chemical_formula_sum 'Tb4 Sm6 Er12 Tm2'
_cell_length_a 6.142
_cell_length_b 10.630
_cell_length_c 11.708
_cell_angle_alpha 90.00
_cell_angle_beta 100.03
_cell_angle_gamma 90.00
_symmetry_space_group_name_H-M 'C 1 2/m 1'
_symmetry_Int_Tables_number 12
loop_
_symmetry_equiv_pos_as_xyz
'x,y,z'
'-x,-y,-z'
'-x,y,-z'
'x,-y,z'
'x+1/2,y+1/2,z'
'-x+1/2,-y+1/2,-z'
'-x+1/2,y+1/2,-z'
'x+1/2,-y+1/2,z'
loop_
_atom_site_label
_atom_site_type_symbol
_atom_site_fract_x
_atom_site_fract_y
_atom_site_fract_z
Tb1 Tb 0.000 0.167 0.000
Sm1 Sm 0.000 0.000 0.500
Sm2 Sm 0.000 0.334 0.500
Er1 Er 0.249 0.333 0.248
Er2 Er 0.250 0.000 0.248
Tm1 Tm 0.000 0.500 0.000
```

***

Density functional theory data (PBE) for a geometry-optimized TbDyHo2As4 structure.

Summary:
E_form	-1534	meV/atom
V	197	Å³ per cell

```
data_TbDyHo2As4
_chemical_formula_sum 'Tb1 Dy1 Ho2 As4'
_cell_length_a 7.124
_cell_length_b 4.116
_cell_length_c 7.125
_cell_angle_alpha 90.00
_cell_angle_beta 109.47
_cell_angle_gamma 90.00
_symmetry_space_group_name_H-M 'P 1 2/m 1'
_symmetry_Int_Tables_number 10
loop_
_symmetry_equiv_pos_as_xyz
'x,y,z'
'-x,-y,-z'
'-x,y,-z'
'x,-y,z'
loop_
_atom_site_label
_atom_site_type_symbol
_atom_site_fract_x
_atom_site_fract_y
_atom_site_fract_z
Tb1 Tb 0.000 0.000 0.000
Dy1 Dy 0.000 0.500 0.500
Ho1 Ho 0.500 0.000 0.500
Ho2 Ho 0.500 0.500 0.000
As1 As 0.252 0.000 0.750
As2 As 0.252 0.500 0.251
```

***

Density functional theory data (PBE) for a geometry-optimized LiCe2Y3Te6 structure.

Summary:
formation energy without anion corrections	-1.338	eV per atom
V	723	Å³ per cell

```
data_LiCe2Y3Te6
_chemical_formula_sum 'Li2 Ce4 Y6 Te12'
_cell_length_a 19.212
_cell_length_b 4.372
_cell_length_c 8.860
_cell_angle_alpha 90.00
_cell_angle_beta 103.79
_cell_angle_gamma 90.00
_symmetry_space_group_name_H-M 'C 1 2/m 1'
_symmetry_Int_Tables_number 12
loop_
_symmetry_equiv_pos_as_xyz
'x,y,z'
'-x,-y,-z'
'-x,y,-z'
'x,-y,z'
'x+1/2,y+1/2,z'
'-x+1/2,-y+1/2,-z'
'-x+1/2,y+1/2,-z'
'x+1/2,-y+1/2,z'
loop_
_atom_site_label
_atom_site_type_symbol
_atom_site_fract_x
_atom_site_fract_y
_atom_site_fract_z
Li1 Li 0.000 0.000 0.000
Ce1 Ce 0.168 0.500 0.336
Y1 Y 0.000 0.000 0.500
Y2 Y 0.170 0.500 0.831
Te1 Te 0.003 0.500 0.756
Te2 Te 0.162 0.000 0.072
Te3 Te 0.163 0.000 0.588
```

***

Density functional theory data (PBE) for a geometry-optimized Pr5Te4As structure.

Summary:
formation energy without anion corrections	-1.471	eV per atom
V	642	Å³ per cell

```
data_Pr5Te4As
_chemical_formula_sum 'Pr10 Te8 As2'
_cell_length_a 4.458
_cell_length_b 4.458
_cell_length_c 32.290
_cell_angle_alpha 90.00
_cell_angle_beta 90.00
_cell_angle_gamma 90.00
_symmetry_space_group_name_H-M 'I 4/m m m'
_symmetry_Int_Tables_number 139
_symmetry_space_group_name_Hall '-I 4 2'
loop_
_atom_site_label
_atom_site_type_symbol
_atom_site_fract_x
_atom_site_fract_y
_atom_site_fract_z
Pr1 Pr 0.000 0.000 0.000
Pr2 Pr 0.000 0.000 0.207
Pr3 Pr 0.000 0.000 0.410
Te1 Te 0.000 0.000 0.102
Te2 Te 0.000 0.000 0.307
As1 As 0.000 0.000 0.500
```